A plane-wave DFT calculation with GGA-PBE was carried out for a relaxed structure of TlCoMo.

```
TlCoMo
1.0
2.981 0.000 0.000
-1.490 2.581 0.000
0.000 0.000 6.599
Mo Co Tl
1 1 1
Direct
0.667 0.333 0.294
0.000 0.000 0.025
0.333 0.667 0.681
```

Calculated values
DFT total energy = -6.12 eV/atom
Spin magnetization = 0.02 Bohr magnetons per cell
Formation enthalpy at 0 K = 0.648 eV per atom